Entry from OQMD: a geometry-optimized KCoTe2AuS structure (PBE).

Output
E = -3.77 eV per atom
Space group = Cmcm, No. 63

Cell: 7.5086 7.5086 11.1781 Å, 90.00 90.00 150.03°
Element x y z (fractional)
K: 0.2474 0.7526 0.7500
K: 0.7526 0.2474 0.2500
Co: 0.5000 0.5000 0.0000
Co: 0.5000 0.5000 0.5000
Te: 0.1163 0.8837 0.0291
Te: 0.1163 0.8837 0.4709
Te: 0.8837 0.1163 0.5291
Te: 0.8837 0.1163 0.9709
Au: 0.0399 0.9601 0.2500
Au: 0.9601 0.0399 0.7500
S: 0.4315 0.5685 0.2500
S: 0.5685 0.4315 0.7500